(1)
The following is a meta-GGA SCAN calculation of a PBEsol-optimized structure of AlH3NCl3, from Alexandria via LeMat-Bulk.

Cell lengths 9.778, 9.843, 11.581 Å; angles 90.00, 90.00, 90.00 degrees
Element x y z (fractional)
1 Al 0.170 0.596 0.666
2 Al 0.170 0.904 0.166
3 Al 0.330 0.096 0.666
4 Al 0.330 0.404 0.166
5 Al 0.670 0.596 0.834
6 Al 0.670 0.904 0.334
7 Al 0.830 0.096 0.834
8 Al 0.830 0.404 0.334
9 H 0.962 0.762 0.130
10 H 0.962 0.738 0.630
11 H 0.035 0.798 0.005
12 H 0.035 0.702 0.505
13 H 0.097 0.673 0.086
14 H 0.097 0.827 0.586
15 H 0.403 0.173 0.086
16 H 0.403 0.327 0.586
17 H 0.465 0.202 0.505
18 H 0.465 0.298 0.005
19 H 0.538 0.262 0.130
20 H 0.538 0.238 0.630
21 H 0.462 0.762 0.370
22 H 0.462 0.738 0.870
23 H 0.535 0.702 0.995
24 H 0.535 0.798 0.495
25 H 0.597 0.673 0.414
26 H 0.597 0.827 0.914
27 H 0.903 0.173 0.414
28 H 0.903 0.327 0.914
29 H 0.965 0.202 0.995
30 H 0.965 0.298 0.495
31 H 0.038 0.238 0.870
32 H 0.038 0.262 0.370
33 N 0.056 0.770 0.090
34 N 0.056 0.730 0.590
35 N 0.444 0.230 0.590
36 N 0.444 0.270 0.090
37 N 0.556 0.770 0.410
38 N 0.556 0.730 0.910
39 N 0.944 0.230 0.910
40 N 0.944 0.270 0.410
41 Cl 0.045 0.081 0.171
42 Cl 0.045 0.419 0.671
43 Cl 0.153 0.437 0.062
44 Cl 0.153 0.063 0.562
45 Cl 0.222 0.676 0.831
46 Cl 0.222 0.824 0.331
47 Cl 0.278 0.176 0.831
48 Cl 0.278 0.324 0.331
49 Cl 0.347 0.563 0.562
50 Cl 0.347 0.937 0.062
51 Cl 0.455 0.581 0.171
52 Cl 0.455 0.919 0.671
53 Cl 0.545 0.081 0.329
54 Cl 0.545 0.419 0.829
55 Cl 0.653 0.437 0.438
56 Cl 0.653 0.063 0.938
57 Cl 0.722 0.676 0.669
58 Cl 0.722 0.824 0.169
59 Cl 0.778 0.324 0.169
60 Cl 0.778 0.176 0.669
61 Cl 0.847 0.563 0.938
62 Cl 0.847 0.937 0.438
63 Cl 0.955 0.919 0.829
64 Cl 0.955 0.581 0.329

Summary:
* final energy: -7.593 eV per atom
* D(E_F): 0.00 states/eV/cell

(2)
The following is a meta-GGA SCAN calculation of a PBEsol-optimized structure of HgMoAu2, from Alexandria via LeMat-Bulk.

Cell lengths 2.884, 2.884, 9.736 Å; angles 81.48, 81.48, 60.00 degrees
Element x y z (fractional)
1 Au 0.255 0.255 0.235
2 Au 0.745 0.745 0.765
3 Hg 0.500 0.500 0.500
4 Mo 0.000 0.000 0.000

Summary:
* final energy: -60.098 eV per atom
* D(E_F): 2.56 states/eV/cell

Q: Which of these has the highest final energy?
A: AlH3NCl3